TaNiNO2 | PBE+U | relaxed

a b c (Å): 3.5769 3.5769 3.7443
angles (deg): 90.00 90.00 90.00
Atoms (fractional coordinates):
Ta 0.0000 0.0000 0.0000
Ni 0.5000 0.5000 0.5000
N 0.5000 0.5000 0.0000
O 0.0000 0.5000 0.5000
O 0.5000 0.0000 0.5000

**Total energy**: -32.57 eV/cell
**Calculated density**: 9.90 g cm⁻³
**SG**: No. 123
**Total magnetization**: 0.0 μB per cell